[1]
First-principles (PBE) data for a relaxed structure of AcCr2AsN2, as listed in Alexandria via LeMat-Bulk.

Values from the calculation:
The symmetry is P2_1/m (11). The calculation puts the magnetic moment at 0.00 μB/atom. For the total DFT energy (no corrections), the calculation gives -8.1245 eV per atom. The crystal system is monoclinic. For the mass density, the calculation gives 7.10 Mg/m³. The uncorrected formation energy comes out at -0.682 eV per atom.

abc: 6.193 4.808 7.257
angles: 90.00 110.07 90.00
Fractional positions:
Ac: 0.186 0.250 0.354
Ac: 0.814 0.750 0.646
Cr: 0.372 0.000 0.815
Cr: 0.372 0.500 0.815
Cr: 0.628 0.000 0.185
Cr: 0.628 0.500 0.185
As: 0.264 0.750 0.064
As: 0.736 0.250 0.936
N: 0.143 0.250 0.696
N: 0.388 0.750 0.628
N: 0.612 0.250 0.372
N: 0.857 0.750 0.304

[2]
First-principles (PBE) data for a relaxed structure of LiHfAu, as listed in Alexandria via LeMat-Bulk.

Values from the calculation:
The symmetry is P-6m2 (187). The calculation puts the magnetic moment at 0.00 μB/atom. For the total DFT energy (no corrections), the calculation gives -5.3002 eV per atom. The crystal system is hexagonal. For the mass density, the calculation gives 12.11 Mg/m³. The energy above the most stable polymorph in this dataset comes out at 0.0 meV/atom. The calculation puts the formation energy at -0.8 eV/f.u.

abc: 4.517 4.517 2.968
angles: 90.00 90.00 120.00
Fractional positions:
Li: 0.000 0.000 0.000
Hf: 0.333 0.667 0.500
Au: 0.667 0.333 0.000

[3]
First-principles (PBE) data for a relaxed structure of HfCuRu3, as listed in Alexandria via LeMat-Bulk.

Values from the calculation:
The symmetry is Pm-3m (221). The calculation puts the magnetic moment at 0.00 μB/atom. For the total DFT energy (no corrections), the calculation gives -7.3628 eV per atom. The crystal system is cubic. For the mass density, the calculation gives 10.42 Mg/m³. The energy above the most stable polymorph in this dataset comes out at 0.0 meV/atom. The calculation puts the formation energy at 5.1 eV/f.u.

abc: 4.429 4.429 4.429
angles: 90.00 90.00 90.00
Fractional positions:
Hf: 0.000 0.000 0.000
Cu: 0.500 0.500 0.500
Ru: 0.000 0.500 0.500
Ru: 0.500 0.000 0.500
Ru: 0.500 0.500 0.000

[4]
First-principles (PBE) data for a relaxed structure of HfMg5Pd4, as listed in Alexandria via LeMat-Bulk.

Values from the calculation:
The symmetry is P4/mmm (123). The calculation puts the magnetic moment at 0.00 μB/atom. For the total DFT energy (no corrections), the calculation gives -4.4133 eV per atom. The crystal system is tetragonal. For the mass density, the calculation gives 6.98 Mg/m³. The calculation puts the formation energy at -5.4 eV/f.u.

abc: 3.219 3.219 16.655
angles: 90.00 90.00 90.00
Fractional positions:
Hf: 0.000 0.000 0.000
Mg: 0.500 0.500 0.129
Mg: 0.500 0.500 0.313
Mg: 0.500 0.500 0.500
Mg: 0.500 0.500 0.687
Mg: 0.500 0.500 0.871
Pd: 0.000 0.000 0.220
Pd: 0.000 0.000 0.407
Pd: 0.000 0.000 0.593
Pd: 0.000 0.000 0.780